First-principles (PBE-GGA) data for crystalline Tb5NdTe8 at its relaxed geometry, as listed in Alexandria.

abc: 10.0491 10.0491 8.7918
angles: 90.00 90.00 90.00
Closest atoms and distances in Å follow each position.
Space group I-4 (No. 82)
Unique sites:
Tb: 0.0000 0.0000 0.0000 [2 per cell]  8 Te 3.19-3.46
Tb: 0.2031 0.7517 0.6238 [8 per cell]  6 Te 3.05-3.11
Nd: 0.0000 0.5000 0.2500 [2 per cell]  8 Te 3.25-3.50
Te: 0.0497 0.6938 0.9236 [8 per cell]  4 Tb 3.06-3.19
Te: 0.0516 0.8127 0.3244 [8 per cell]  3 Tb 3.05-3.10, 1 Nd 3.25

Values from the calculation:
As for the total magnetization: 0.00 μB per atom. As for the formation energy without anion corrections: -1838 kJ/mol of formula units. Its density of states at the Fermi level is 13.99 states/eV per cell. The raw total energy comes out at -0.379 Ry/atom.